# Sm5Dy2YTm PBE relaxed
# Energy relative to the elements, eV per formula unit: 1.4
# VASP energy, eV/cell: -169.5
# Fermi-level density of states, states/eV per cell: 58.51
data_Sm5Dy2YTm
_chemical_formula_sum 'Sm20 Dy8 Y4 Tm4'
_cell_length_a 5.6322
_cell_length_b 20.2298
_cell_length_c 10.6021
_cell_angle_alpha 90.00
_cell_angle_beta 90.00
_cell_angle_gamma 90.00
_symmetry_space_group_name_H-M 'C m c 21'
_symmetry_Int_Tables_number 36
loop_
_symmetry_equiv_pos_as_xyz
'x,y,z'
'-x,-y,z+1/2'
'-x,y,z'
'x,-y,z+1/2'
'x+1/2,y+1/2,z'
'-x+1/2,-y+1/2,z+1/2'
'-x+1/2,y+1/2,z'
'x+1/2,-y+1/2,z+1/2'
loop_
_atom_site_label
_atom_site_fract_x
_atom_site_fract_y
_atom_site_fract_z
Sm1 0.0000 0.0163 0.0000
Sm2 0.0000 0.2788 0.2946
Sm3 0.0000 0.2986 0.6904
Sm4 0.0000 0.3848 0.0038
Sm5 0.0000 0.4816 0.7245
Dy1 0.0000 0.1126 0.7190
Dy2 0.0000 0.1141 0.2941
Y1 0.0000 0.4086 0.4418
Tm1 0.0000 0.1987 0.9937



# Sm6Dy2YTm3 PBE relaxed
# Energy relative to the elements, eV per formula unit: 0.2
# VASP energy, eV/cell: -114.4
# Fermi-level density of states, states/eV per cell: 27.95
data_Sm6Dy2YTm3
_chemical_formula_sum 'Sm12 Dy4 Y2 Tm6'
_cell_length_a 6.2043
_cell_length_b 10.7410
_cell_length_c 11.7627
_cell_angle_alpha 90.00
_cell_angle_beta 100.08
_cell_angle_gamma 90.00
_symmetry_space_group_name_H-M 'C 1 2/m 1'
_symmetry_Int_Tables_number 12
loop_
_symmetry_equiv_pos_as_xyz
'x,y,z'
'-x,-y,-z'
'-x,y,-z'
'x,-y,z'
'x+1/2,y+1/2,z'
'-x+1/2,-y+1/2,-z'
'-x+1/2,y+1/2,-z'
'x+1/2,-y+1/2,z'
loop_
_atom_site_label
_atom_site_fract_x
_atom_site_fract_y
_atom_site_fract_z
Sm1 0.2485 0.1670 0.2482
Sm2 0.2505 0.0000 0.7520
Dy1 0.0000 0.1666 0.5000
Y1 0.0000 0.5000 0.5000
Tm1 0.0000 0.0000 0.0000
Tm2 0.0000 0.3333 0.0000



# Sm6Dy3YTm2 PBE relaxed
# Energy relative to the elements, eV per formula unit: 0.2
# VASP energy, eV/cell: -114.7
# Fermi-level density of states, states/eV per cell: 28.44
data_Sm6Dy3YTm2
_chemical_formula_sum 'Sm12 Dy6 Y2 Tm4'
_cell_length_a 6.2103
_cell_length_b 10.7530
_cell_length_c 11.7911
_cell_angle_alpha 90.00
_cell_angle_beta 100.08
_cell_angle_gamma 90.00
_symmetry_space_group_name_H-M 'C 1 2/m 1'
_symmetry_Int_Tables_number 12
loop_
_symmetry_equiv_pos_as_xyz
'x,y,z'
'-x,-y,-z'
'-x,y,-z'
'x,-y,z'
'x+1/2,y+1/2,z'
'-x+1/2,-y+1/2,-z'
'-x+1/2,y+1/2,-z'
'x+1/2,-y+1/2,z'
loop_
_atom_site_label
_atom_site_fract_x
_atom_site_fract_y
_atom_site_fract_z
Sm1 0.2490 0.0000 0.2492
Sm2 0.2493 0.1672 0.7507
Dy1 0.0000 0.0000 0.5000
Dy2 0.0000 0.3333 0.5000
Y1 0.0000 0.5000 0.0000
Tm1 0.0000 0.1667 0.0000